No. 1
An optimized crystal structure of Rb2CoF4. Source: the Alexandria database, functional PBE with a Hubbard U.

- uncorrected energy (eV/atom) = -4.525

Cell lengths 6.0357, 6.4821, 7.8647 Å; angles 90.00, 106.16, 90.00 degrees
Last column: magnetic moment on the atom in μB.
Element x y z (fractional)
Co  0.8741  0.2500  0.2368  2.72
Co  0.1259  0.7500  0.7632  2.72
Rb  0.3015  0.2500  0.0021  0.00
Rb  0.6985  0.7500  0.9979  0.00
Rb  0.3898  0.7500  0.3935  0.00
Rb  0.6102  0.2500  0.6065  0.00
F  0.6921  0.4784  0.2819  0.05
F  0.8149  0.2500  0.9777  0.05
F  0.1851  0.7500  0.0223  0.05
F  0.6921  0.0216  0.2819  0.05
F  0.7984  0.7500  0.6726  0.05
F  0.3079  0.9784  0.7181  0.05
F  0.3079  0.5216  0.7181  0.05
F  0.2016  0.2500  0.3274  0.05

***

No. 2
An optimized crystal structure of NdFeGe2O7. Source: the Alexandria database, functional PBE with a Hubbard U.

- uncorrected energy (eV/atom) = -7.007

Cell lengths 6.6933, 7.3373, 13.1345 Å; angles 62.63, 90.00, 90.00 degrees
Last column: magnetic moment on the atom in μB.
Element x y z (fractional)
Nd  0.3527  0.7398  0.5242  0.01
Nd  0.6473  0.2602  0.4758  0.01
Nd  0.8527  0.2602  0.9758  0.01
Nd  0.1473  0.7398  0.0242  0.01
Fe  0.3999  0.7109  0.2684  4.33
Fe  0.6001  0.2891  0.7316  4.33
Fe  0.8999  0.2891  0.2316  4.33
Fe  0.1001  0.7109  0.7684  4.33
Ge  0.6586  0.7175  0.0389  0.02
Ge  0.3414  0.2825  0.9611  0.02
Ge  0.1586  0.2825  0.4611  0.02
Ge  0.8414  0.7175  0.5389  0.02
Ge  0.9117  0.7981  0.2782  0.03
Ge  0.0883  0.2019  0.7218  0.03
Ge  0.4117  0.2019  0.2218  0.03
Ge  0.5883  0.7981  0.7782  0.03
O  0.3764  0.9335  0.3071  0.11
O  0.6236  0.0665  0.6929  0.11
O  0.8764  0.0665  0.1929  0.11
O  0.1236  0.9335  0.8071  0.11
O  0.8275  0.9099  0.0171  0.01
O  0.1725  0.0901  0.9829  0.01
O  0.3275  0.0901  0.4829  0.01
O  0.6725  0.9099  0.5171  0.01
O  0.6098  0.2822  0.2803  0.09
O  0.3902  0.7178  0.7197  0.09
O  0.1098  0.7178  0.2197  0.09
O  0.8902  0.2822  0.7803  0.09
O  0.9981  0.7560  0.4193  0.01
O  0.0019  0.2440  0.5807  0.01
O  0.4981  0.2440  0.0807  0.01
O  0.5019  0.7560  0.9193  0.01
O  0.4527  0.7100  0.1241  0.08
O  0.5473  0.2900  0.8759  0.08
O  0.9527  0.2900  0.3759  0.08
O  0.0473  0.7100  0.6241  0.08
O  0.8361  0.5113  0.0756  0.09
O  0.1639  0.4887  0.9244  0.09
O  0.3361  0.4887  0.4244  0.09
O  0.6639  0.5113  0.5756  0.09
O  0.6892  0.6525  0.3126  0.09
O  0.3108  0.3475  0.6874  0.09
O  0.1892  0.3475  0.1874  0.09
O  0.8108  0.6525  0.8126  0.09

***

Mass density? In order: 3.437; 5.303 Mg/m³.